1.
Here is a relaxed TaVMo2C crystal from Alexandria via LeMat-Bulk. Energies are from PBE.

a b c (Å): 4.124 4.313 4.124
angles (deg): 90.00 90.00 90.00
Element x y z (fractional)
1 Mo 0.000 0.000 0.500
2 Mo 0.500 0.000 0.000
3 V 0.500 0.500 0.500
4 C 0.000 0.000 0.000
5 Ta 0.000 0.500 0.000

Formation enthalpy at 0 K   9.8 kJ/mol of atoms



2.
Here is a relaxed LiCa crystal from Alexandria via LeMat-Bulk. Energies are from PBE.

a b c (Å): 6.645 6.645 6.645
angles (deg): 44.49 44.49 44.49
Element x y z (fractional)
1 Ca 0.396 0.396 0.396
2 Ca 0.604 0.604 0.604
3 Li 0.163 0.163 0.163
4 Li 0.837 0.837 0.837

Formation enthalpy at 0 K   12.6 kJ/mol of atoms
Energy above the most stable polymorph in this dataset   11.5 kJ/mol of atoms



3.
Here is a relaxed BaCdCuBi2 crystal from Alexandria via LeMat-Bulk. Energies are from PBE.

a b c (Å): 5.471 5.471 5.166
angles (deg): 90.00 90.00 90.00
Element x y z (fractional)
1 Cd 0.000 0.000 0.500
2 Bi 0.000 0.500 0.000
3 Bi 0.500 0.000 0.000
4 Cu 0.000 0.000 0.000
5 Ba 0.500 0.500 0.500

Formation enthalpy at 0 K   -20.7 kJ/mol of atoms



4.
Here is a relaxed DyPuHgRh crystal from Alexandria via LeMat-Bulk. Energies are from PBE.

a b c (Å): 5.074 5.074 5.074
angles (deg): 60.00 60.00 60.00
Each line ends with the local moment (μB).
Element x y z (fractional)
1 Dy 0.750 0.750 0.750  0.11
2 Rh 0.000 0.000 0.000  -0.19
3 Hg 0.500 0.500 0.500  0.03
4 Pu 0.250 0.250 0.250  5.28

Formation enthalpy at 0 K   -34.3 kJ/mol of atoms



5.
Here is a relaxed FeCu2SnSe4 crystal from Alexandria via LeMat-Bulk. Energies are from PBE.

a b c (Å): 15.001 15.001 15.001
angles (deg): 15.08 15.08 15.08
Each line ends with the local moment (μB).
Element x y z (fractional)
1 Fe 0.735 0.735 0.735  3.05
2 Cu 0.998 0.998 0.998  0.03
3 Cu 0.263 0.263 0.263  -0.01
4 Sn 0.503 0.503 0.503  0.00
5 Se 0.944 0.944 0.944  -0.01
6 Se 0.206 0.206 0.206  0.00
7 Se 0.419 0.419 0.419  0.10
8 Se 0.682 0.682 0.682  0.06

Energy above the most stable polymorph in this dataset   7.9 kJ/mol of atoms



6.
Here is a relaxed Sm6Th2Sc crystal from Alexandria via LeMat-Bulk. Energies are from PBE.

a b c (Å): 3.474 8.809 10.035
angles (deg): 79.63 80.04 78.62
Element x y z (fractional)
1 Sm 0.776 0.339 0.108
2 Sm 0.224 0.661 0.892
3 Sm 0.383 0.677 0.558
4 Sm 0.046 0.664 0.244
5 Sm 0.954 0.336 0.756
6 Sm 0.617 0.323 0.442
7 Th 0.330 0.014 0.327
8 Th 0.670 0.986 0.673
9 Sc 0.000 0.000 0.000

Formation enthalpy at 0 K   12.6 kJ/mol of atoms



7.
Here is a relaxed KCu2 crystal from Alexandria via LeMat-Bulk. Energies are from PBE.

a b c (Å): 2.710 5.804 8.336
angles (deg): 90.00 90.00 90.00
Element x y z (fractional)
1 K 0.000 0.000 0.000
2 K 0.500 0.500 0.500
3 Cu 0.758 0.000 0.375
4 Cu 0.242 0.000 0.625
5 Cu 0.258 0.500 0.125
6 Cu 0.742 0.500 0.875

Formation enthalpy at 0 K   54.7 kJ/mol of atoms



8.
Here is a relaxed Cs2PdO3 crystal from Alexandria via LeMat-Bulk. Energies are from PBE.

a b c (Å): 6.079 6.689 6.689
angles (deg): 110.11 90.00 90.00
Element x y z (fractional)
1 Cs 0.750 0.474 0.811
2 Cs 0.250 0.189 0.526
3 Cs 0.250 0.526 0.189
4 Cs 0.750 0.811 0.474
5 Pd 0.250 0.962 0.962
6 Pd 0.750 0.038 0.038
7 O 0.000 0.120 0.880
8 O 0.500 0.120 0.880
9 O 0.250 0.700 0.700
10 O 0.750 0.300 0.300
11 O 0.500 0.880 0.120
12 O 0.000 0.880 0.120

Energy above the most stable polymorph in this dataset   2.1 kJ/mol of atoms



9.
Here is a relaxed LiZnRh2 crystal from Alexandria via LeMat-Bulk. Energies are from PBE.

a b c (Å): 4.765 4.765 4.434
angles (deg): 77.81 77.81 34.07
Element x y z (fractional)
1 Zn 0.493 0.493 0.481
2 Rh 0.007 0.007 0.976
3 Rh 0.751 0.751 0.774
4 Li 0.250 0.250 0.270

Formation enthalpy at 0 K   -22.0 kJ/mol of atoms



10.
Here is a relaxed BeVAg crystal from Alexandria via LeMat-Bulk. Energies are from PBE.

a b c (Å): 7.839 3.611 2.822
angles (deg): 90.00 99.13 90.01
Element x y z (fractional)
1 Be 0.546 0.295 0.076
2 Be 0.700 0.796 0.142
3 Ag 0.435 0.795 0.526
4 Ag 0.209 0.295 0.922
5 V 0.005 0.795 0.331
6 V 0.823 0.295 0.698

Formation enthalpy at 0 K   15.2 kJ/mol of atoms
Energy above the most stable polymorph in this dataset   4.8 kJ/mol of atoms



11.
Here is a relaxed GdY2Cd crystal from Alexandria via LeMat-Bulk. Energies are from PBE.

a b c (Å): 3.613 3.613 9.063
angles (deg): 90.00 90.00 90.00
Each line ends with the local moment (μB).
Element x y z (fractional)
1 Y 0.000 0.000 0.777  -0.01
2 Y 0.000 0.000 0.223  -0.01
3 Gd 0.500 0.500 0.500  7.20
4 Cd 0.500 0.500 0.000  0.00

Formation enthalpy at 0 K   -14.5 kJ/mol of atoms
Energy above the most stable polymorph in this dataset   0.0 kJ/mol of atoms



> What is the formula in the first record?

TaVMo2C



> Which formula does entry 3 have?

BaCdCuBi2